# 1
First-principles (GGA-PBE) data for an optimized crystal structure of YBr2N, as listed in Alexandria via LeMat-Bulk.

```
data_YBr2N
_chemical_formula_sum 'Y4 Br8 N4'
_space_group_name_H-M_alt 'F m -3 m'
_space_group_IT_number 225
_space_group_name_Hall '-F 4 2 3'
_cell_length_a 6.977
_cell_length_b 6.977
_cell_length_c 6.977
_cell_angle_alpha 90.00
_cell_angle_beta 90.00
_cell_angle_gamma 90.00
loop_
_atom_site_label
_atom_site_fract_x
_atom_site_fract_y
_atom_site_fract_z
Y1 0.000 0.000 0.000
Br1 0.250 0.250 0.250
N1 0.000 0.000 0.500
```

The calculated density is 5.1 g/cm³. For the uncorrected formation energy, the calculation gives -35 meV/atom. The density of states at the Fermi level comes out at 0.86 states/eV/atom. The total magnetic moment comes out at 2.0 μB/f.u. Its energy above the most stable polymorph in this dataset is 0.000 eV per atom. Its total energy is -73.1 eV/cell.

# 2
First-principles (GGA-PBE) data for an optimized crystal structure of Tb3Ho4ErS8, as listed in Alexandria via LeMat-Bulk.

```
data_Tb3Ho4ErS8
_chemical_formula_sum 'Tb9 Ho12 Er3 S24'
_space_group_name_H-M_alt 'R -3 m'
_space_group_IT_number 166
_space_group_name_Hall '-R 3 2"'
_cell_length_a 7.7957
_cell_length_b 7.7957
_cell_length_c 19.1034
_cell_angle_alpha 90.00
_cell_angle_beta 90.00
_cell_angle_gamma 120.00
loop_
_atom_site_label
_atom_site_fract_x
_atom_site_fract_y
_atom_site_fract_z
Tb1 0.0000 0.5000 0.0000
Ho1 0.0000 0.0000 0.5000
Ho2 0.0000 0.5000 0.5000
Er1 0.0000 0.0000 0.0000
S1 0.0000 0.0000 0.2485
S2 0.0029 0.5015 0.7507
```

The calculated density is 7.7 g/cm³. For the uncorrected formation energy, the calculation gives -1980 meV/atom. The density of states at the Fermi level comes out at 0.57 states/eV/atom. The total magnetic moment comes out at 0.0 μB/f.u. Its total energy is -304.4 eV/cell.

# 3
First-principles (GGA-PBE) data for an optimized crystal structure of Al5Os, as listed in Alexandria via LeMat-Bulk.

```
data_Al5Os
_chemical_formula_sum 'Al10 Os2'
_space_group_name_H-M_alt 'C m m m'
_space_group_IT_number 65
_space_group_name_Hall '-C 2 2'
_cell_length_a 3.879
_cell_length_b 11.924
_cell_length_c 3.930
_cell_angle_alpha 90.00
_cell_angle_beta 90.00
_cell_angle_gamma 90.00
loop_
_atom_site_label
_atom_site_fract_x
_atom_site_fract_y
_atom_site_fract_z
Al1 0.000 0.000 0.000
Al2 0.000 0.157 0.500
Al3 0.000 0.339 0.000
Os1 0.000 0.500 0.500
```

The calculated density is 5.9 g/cm³. The density of states at the Fermi level comes out at 0.39 states/eV/atom. The total magnetic moment comes out at 0.0 μB/f.u. Its total energy is -61.6 eV/cell.

# 4
First-principles (GGA-PBE) data for an optimized crystal structure of Li3U2WN6, as listed in Alexandria via LeMat-Bulk.

```
data_Li3U2WN6
_chemical_formula_sum 'Li6 U4 W2 N12'
_space_group_name_H-M_alt 'C 1 2/m 1'
_space_group_IT_number 12
_cell_length_a 13.542
_cell_length_b 3.253
_cell_length_c 5.924
_cell_angle_alpha 90.00
_cell_angle_beta 92.64
_cell_angle_gamma 90.00
loop_
_space_group_symop_operation_xyz
'x,y,z'
'-x,-y,-z'
'-x,y,-z'
'x,-y,z'
'x+1/2,y+1/2,z'
'-x+1/2,-y+1/2,-z'
'-x+1/2,y+1/2,-z'
'x+1/2,-y+1/2,z'
loop_
_atom_site_label
_atom_site_fract_x
_atom_site_fract_y
_atom_site_fract_z
Li1 0.000 0.000 0.000
Li2 0.123 0.500 0.236
U1 0.188 0.500 0.755
W1 0.000 0.000 0.500
N1 0.020 0.500 0.727
N2 0.156 0.000 0.488
N3 0.170 0.000 0.004
```

The calculated density is 9.7 g/cm³. For the uncorrected formation energy, the calculation gives -911 meV/atom. The density of states at the Fermi level comes out at 0.74 states/eV/atom. The total magnetic moment comes out at 1.8 μB/f.u. Its total energy is -204.3 eV/cell.

# 5
First-principles (GGA-PBE) data for an optimized crystal structure of GeB2Te, as listed in Alexandria via LeMat-Bulk.

```
data_GeB2Te
_chemical_formula_sum 'Ge4 B8 Te4'
_space_group_name_H-M_alt 'I -4 2 d'
_space_group_IT_number 122
_space_group_name_Hall 'I -4 2bw'
_cell_length_a 5.074
_cell_length_b 5.074
_cell_length_c 10.157
_cell_angle_alpha 90.00
_cell_angle_beta 90.00
_cell_angle_gamma 90.00
loop_
_atom_site_label
_atom_site_fract_x
_atom_site_fract_y
_atom_site_fract_z
Ge1 0.000 0.000 0.000
B1 0.222 0.250 0.125
Te1 0.000 0.000 0.500
```

The calculated density is 5.6 g/cm³. For the uncorrected formation energy, the calculation gives 407 meV/atom. The density of states at the Fermi level comes out at 0.00 states/eV/atom. The total magnetic moment comes out at 0.0 μB/f.u. Its energy above the most stable polymorph in this dataset is 0.000 eV per atom. Its total energy is -77.9 eV/cell.

# 6
First-principles (GGA-PBE) data for an optimized crystal structure of Pr2Sm3Tm3, as listed in Alexandria via LeMat-Bulk.

```
data_Pr2Sm3Tm3
_chemical_formula_sum 'Pr8 Sm12 Tm12'
_space_group_name_H-M_alt 'C m c m'
_space_group_IT_number 63
_space_group_name_Hall '-C 2c 2'
_cell_length_a 5.620
_cell_length_b 11.960
_cell_length_c 15.970
_cell_angle_alpha 90.00
_cell_angle_beta 90.00
_cell_angle_gamma 90.00
loop_
_atom_site_label
_atom_site_fract_x
_atom_site_fract_y
_atom_site_fract_z
Pr1 0.000 0.218 0.127
Sm1 0.000 0.078 0.594
Sm2 0.000 0.267 0.750
Tm1 0.000 0.383 0.550
Tm2 0.000 0.458 0.250
```

The calculated density is 7.7 g/cm³. The density of states at the Fermi level comes out at 1.48 states/eV/atom. The total magnetic moment comes out at 0.0 μB/f.u. Its energy above the most stable polymorph in this dataset is 0.112 eV per atom. Its total energy is -144.2 eV/cell.

# 7
First-principles (GGA-PBE) data for an optimized crystal structure of Tb3AlO6, as listed in Alexandria via LeMat-Bulk.

```
data_Tb3AlO6
_chemical_formula_sum 'Tb12 Al4 O24'
_space_group_name_H-M_alt 'C m c 21'
_space_group_IT_number 36
_cell_length_a 8.927
_cell_length_b 11.179
_cell_length_c 5.419
_cell_angle_alpha 90.00
_cell_angle_beta 90.00
_cell_angle_gamma 90.00
loop_
_space_group_symop_operation_xyz
'x,y,z'
'-x,-y,z+1/2'
'-x,y,z'
'x,-y,z+1/2'
'x+1/2,y+1/2,z'
'-x+1/2,-y+1/2,z+1/2'
'-x+1/2,y+1/2,z'
'x+1/2,-y+1/2,z+1/2'
loop_
_atom_site_label
_atom_site_fract_x
_atom_site_fract_y
_atom_site_fract_z
Tb1 0.000 0.103 0.000
Tb2 0.193 0.394 0.955
Al1 0.000 0.306 0.419
O1 0.000 0.286 0.745
O2 0.000 0.455 0.296
O3 0.153 0.238 0.256
O4 0.160 0.015 0.726
```

The calculated density is 7.4 g/cm³. For the uncorrected formation energy, the calculation gives -3438 meV/atom. The density of states at the Fermi level comes out at 0.00 states/eV/atom. The total magnetic moment comes out at 0.0 μB/f.u. Its total energy is -327.1 eV/cell.

# 8
First-principles (GGA-PBE) data for an optimized crystal structure of PmFeTcB2, as listed in Alexandria via LeMat-Bulk.

```
data_PmFeTcB2
_chemical_formula_sum 'Pm2 Fe2 Tc2 B4'
_space_group_name_H-M_alt 'I -4 m 2'
_space_group_IT_number 119
_space_group_name_Hall 'I -4 -2'
_cell_length_a 3.776
_cell_length_b 3.776
_cell_length_c 10.129
_cell_angle_alpha 90.00
_cell_angle_beta 90.00
_cell_angle_gamma 90.00
loop_
_atom_site_label
_atom_site_fract_x
_atom_site_fract_y
_atom_site_fract_z
Pm1 0.000 0.000 0.000
Fe1 0.000 0.500 0.250
Tc1 0.000 0.500 0.750
B1 0.000 0.000 0.342
```

The calculated density is 7.4 g/cm³. The density of states at the Fermi level comes out at 0.58 states/eV/atom. The total magnetic moment comes out at 1.7 μB/f.u. Its total energy is -76.9 eV/cell.

# 9
First-principles (GGA-PBE) data for an optimized crystal structure of Ba2Ti3AlO7, as listed in Alexandria via LeMat-Bulk.

```
data_Ba2Ti3AlO7
_chemical_formula_sum 'Ba2 Ti3 Al1 O7'
_space_group_name_H-M_alt 'P m m m'
_space_group_IT_number 47
_cell_length_a 3.914
_cell_length_b 3.976
_cell_length_c 11.494
_cell_angle_alpha 90.00
_cell_angle_beta 90.00
_cell_angle_gamma 90.00
loop_
_space_group_symop_operation_xyz
'x,y,z'
'-x,-y,-z'
'-x,-y,z'
'x,y,-z'
'x,-y,-z'
'-x,y,z'
'-x,y,-z'
'x,-y,z'
loop_
_atom_site_label
_atom_site_fract_x
_atom_site_fract_y
_atom_site_fract_z
Ba1 0.000 0.000 0.182
Ti1 0.500 0.500 0.000
Ti2 0.500 0.500 0.378
Al1 0.000 0.000 0.500
O1 0.000 0.500 0.380
O2 0.500 0.000 0.000
O3 0.500 0.000 0.382
O4 0.500 0.500 0.171
```

The calculated density is 5.2 g/cm³. For the uncorrected formation energy, the calculation gives -2405 meV/atom. The density of states at the Fermi level comes out at 0.30 states/eV/atom. The total magnetic moment comes out at 0.0 μB/f.u. Its total energy is -97.2 eV/cell.